DFT (PBE) results for YPaSe2N after structural relaxation.

a b c (Å): 3.9435 3.9435 13.9570
angles (deg): 90.00 90.00 90.00
Closest atoms and distances in Å follow each position.
Element x y z (fractional)
Y (0.2500, 0.2500, 0.0989)  6 Se 2.79-2.95
Y (0.7500, 0.7500, 0.9011)  6 Se 2.79-2.95
Pa (0.2500, 0.2500, 0.5850)  4 N 2.30
Pa (0.7500, 0.7500, 0.4150)  4 N 2.30
Se (0.2500, 0.2500, 0.3093)  1 Y 2.94, 4 Pa 3.15
Se (0.2500, 0.2500, 0.8875)  5 Y 2.79-2.95
Se (0.7500, 0.7500, 0.1125)  5 Y 2.79-2.95
Se (0.7500, 0.7500, 0.6907)  1 Y 2.94, 4 Pa 3.15
N (0.2500, 0.7500, 0.5000)  4 Pa 2.30
N (0.7500, 0.2500, 0.5000)  4 Pa 2.30

Calculated values
* space-group type: P4/nmm (129)
* formation energy from raw total energies: -1.806 eV per atom
* Fermi-level density of states: 3.2 states/eV/f.u.